*1*
Computed, not measured: an optimized crystal structure of SrTaRh at the PBE-GGA level of DFT.

Output
* mass density: 8.73 Mg/m³
* crystal system: cubic

Cell: 4.6396 4.6396 4.6396 Å, 60.00 60.00 60.00°
Positions (direct):
Sr1 0.0000 0.0000 0.0000
Ta1 0.2500 0.2500 0.2500
Rh1 0.7500 0.7500 0.7500


*2*
Computed, not measured: an optimized crystal structure of SrTaRh at the PBE-GGA level of DFT.

Output
* mass density: 8.53 Mg/m³
* crystal system: tetragonal

Cell: 6.6370 6.6370 6.6370 Å, 150.13 150.13 42.75°
Positions (direct):
Sr1 0.0000 0.0000 0.0000
Ta1 0.2796 0.2796 0.0000
Rh1 0.7049 0.7049 0.0000


*3*
Computed, not measured: an optimized crystal structure of SrTaRh at the PBE-GGA level of DFT.

Output
* mass density: 8.40 Mg/m³
* crystal system: cubic

Cell: 4.7004 4.7004 4.7004 Å, 60.00 60.00 60.00°
Positions (direct):
Sr1 0.0000 0.0000 0.0000
Ta1 0.5000 0.5000 0.5000
Rh1 0.7500 0.7500 0.7500


Which of them is the least stable? Correct choice: *1*.


*1*
Computed, not measured: an optimized crystal structure of SrTa2Rh2 at the PBE-GGA level of DFT.

Output
* mass density: 11.43 Mg/m³
* crystal system: tetragonal

Cell: 8.1545 8.1545 2.8635 Å, 90.00 90.00 90.00°
Positions (direct):
Sr1 0.0000 0.0000 0.0000
Sr2 0.5000 0.5000 0.0000
Ta1 0.1202 0.3798 0.0000
Ta2 0.3798 0.8798 0.0000
Ta3 0.6202 0.1202 0.0000
Ta4 0.8798 0.6202 0.0000
Rh1 0.1712 0.6712 0.5000
Rh2 0.3288 0.1712 0.5000
Rh3 0.6712 0.8288 0.5000
Rh4 0.8288 0.3288 0.5000


*2*
Computed, not measured: an optimized crystal structure of SrTa2Rh2 at the PBE-GGA level of DFT.

Output
* mass density: 10.03 Mg/m³
* crystal system: tetragonal

Cell: 6.2791 6.2791 6.2791 Å, 138.29 138.29 60.46°
Positions (direct):
Sr1 0.0000 0.0000 0.0000
Ta1 0.2500 0.7500 0.5000
Ta2 0.7500 0.2500 0.5000
Rh1 0.3689 0.3689 0.0000
Rh2 0.6311 0.6311 0.0000


Which of them is the least stable? Correct choice: *1*.


*1*
Computed, not measured: an optimized crystal structure of SrTbRh at the PBE-GGA level of DFT.

Output
* mass density: 6.72 Mg/m³
* crystal system: tetragonal

Cell: 7.2925 7.2925 7.2925 Å, 151.80 151.80 40.30°
Positions (direct):
Sr1 0.0000 0.0000 0.0000
Tb1 0.2534 0.2534 0.0000
Rh1 0.6527 0.6527 0.0000


*2*
Computed, not measured: an optimized crystal structure of SrTbRh at the PBE-GGA level of DFT.

Output
* mass density: 5.74 Mg/m³
* crystal system: monoclinic

Cell: 10.9075 10.9075 7.6109 Å, 92.38 92.38 26.56°
Positions (direct):
Sr1 0.0766 0.0766 0.3113
Sr2 0.4109 0.4109 0.1641
Sr3 0.5891 0.5891 0.8359
Sr4 0.9234 0.9234 0.6887
Tb1 0.2098 0.2098 0.6136
Tb2 0.2314 0.2314 0.1304
Tb3 0.7686 0.7686 0.8696
Tb4 0.7902 0.7902 0.3864
Rh1 0.3187 0.3187 0.8408
Rh2 0.3315 0.3315 0.4830
Rh3 0.6685 0.6685 0.5170
Rh4 0.6813 0.6813 0.1592


Which of them is the least stable? Correct choice: *1*.


*1*
Computed, not measured: an optimized crystal structure of SrTeRh2 at the PBE-GGA level of DFT.

Output
* mass density: 7.46 Mg/m³
* crystal system: monoclinic

Cell: 4.5182 4.5182 5.9060 Å, 112.42 112.42 60.02°
Positions (direct):
Sr1 0.0000 0.0000 0.0000
Te1 0.5000 0.5000 0.5000
Rh1 0.1983 0.1983 0.5950
Rh2 0.8017 0.8017 0.4050


*2*
Computed, not measured: an optimized crystal structure of SrTeRh2 at the PBE-GGA level of DFT.

Output
* mass density: 8.44 Mg/m³
* crystal system: orthorhombic

Cell: 5.7989 5.7989 5.7989 Å, 144.68 132.06 60.93°
Positions (direct):
Sr1 0.0000 0.0000 0.0000
Te1 0.7268 0.2268 0.5000
Rh1 0.2777 0.7777 0.5000
Rh2 0.5262 0.5262 0.0000


*3*
Computed, not measured: an optimized crystal structure of SrTeRh2 at the PBE-GGA level of DFT.

Output
* mass density: 7.30 Mg/m³
* crystal system: trigonal

Cell: 6.1425 6.1425 6.1425 Å, 42.49 42.49 42.49°
Positions (direct):
Sr1 0.0000 0.0000 0.0000
Te1 0.1976 0.1976 0.1976
Rh1 0.4653 0.4653 0.4653
Rh2 0.7958 0.7958 0.7958


Which of them is the least stable? Correct choice: *2*.


*1*
Computed, not measured: an optimized crystal structure of SrTeRh2 at the PBE-GGA level of DFT.

Output
* mass density: 8.31 Mg/m³
* crystal system: tetragonal

Cell: 3.5021 3.5021 6.8570 Å, 90.00 90.00 90.00°
Positions (direct):
Sr1 0.0000 0.0000 0.0000
Te1 0.0000 0.0000 0.5000
Rh1 0.5000 0.5000 0.2934
Rh2 0.5000 0.5000 0.7066


*2*
Computed, not measured: an optimized crystal structure of SrTeRh2 at the PBE-GGA level of DFT.

Output
* mass density: 8.68 Mg/m³
* crystal system: tetragonal

Cell: 4.5858 4.5858 3.8301 Å, 90.00 90.00 90.00°
Positions (direct):
Sr1 0.0000 0.0000 0.0000
Te1 0.5000 0.5000 0.0000
Rh1 0.0000 0.5000 0.5000
Rh2 0.5000 0.0000 0.5000


Which of them is the least stable? Correct choice: *1*.


*1*
Computed, not measured: an optimized crystal structure of SrTeRh3 at the PBE-GGA level of DFT.

Output
* mass density: 7.07 Mg/m³
* crystal system: cubic

Cell: 4.9738 4.9738 4.9738 Å, 90.00 90.00 90.00°
Positions (direct):
Sr1 0.0000 0.0000 0.0000
Te1 0.5000 0.5000 0.5000
Rh1 0.0000 0.0000 0.5000
Rh2 0.0000 0.5000 0.0000
Rh3 0.5000 0.0000 0.0000


*2*
Computed, not measured: an optimized crystal structure of SrTeRh3 at the PBE-GGA level of DFT.

Output
* mass density: 7.32 Mg/m³
* crystal system: cubic

Cell: 4.9177 4.9177 4.9177 Å, 90.00 90.00 90.00°
Positions (direct):
Sr1 0.0000 0.0000 0.0000
Te1 0.5000 0.5000 0.5000
Rh1 0.0000 0.5000 0.5000
Rh2 0.5000 0.0000 0.5000
Rh3 0.5000 0.5000 0.0000


Which of them is the least stable? Correct choice: *1*.


*1*
Computed, not measured: an optimized crystal structure of SrTe2Rh2 at the PBE-GGA level of DFT.

Output
* mass density: 7.67 Mg/m³
* crystal system: tetragonal

Cell: 5.9171 5.9171 5.9171 Å, 129.97 129.97 73.46°
Positions (direct):
Sr1 0.0000 0.0000 0.0000
Te1 0.2500 0.7500 0.5000
Te2 0.7500 0.2500 0.5000
Rh1 0.3532 0.3532 0.0000
Rh2 0.6468 0.6468 0.0000


*2*
Computed, not measured: an optimized crystal structure of SrTe2Rh2 at the PBE-GGA level of DFT.

Output
* mass density: 7.58 Mg/m³
* crystal system: tetragonal

Cell: 7.0489 7.0489 7.0489 Å, 144.03 144.03 51.78°
Positions (direct):
Sr1 0.0000 0.0000 0.0000
Te1 0.3678 0.3678 0.0000
Te2 0.6322 0.6322 0.0000
Rh1 0.2500 0.7500 0.5000
Rh2 0.7500 0.2500 0.5000


Which of them is the least stable? Correct choice: *1*.


*1*
Computed, not measured: an optimized crystal structure of Sr2TeRh2 at the PBE-GGA level of DFT.

Output
* mass density: 6.92 Mg/m³
* crystal system: tetragonal

Cell: 7.3144 7.3144 4.5611 Å, 90.00 90.00 90.00°
Positions (direct):
Sr1 0.1736 0.3264 0.0000
Sr2 0.3264 0.8264 0.0000
Sr3 0.6736 0.1736 0.0000
Sr4 0.8264 0.6736 0.0000
Te1 0.0000 0.0000 0.5000
Te2 0.5000 0.5000 0.5000
Rh1 0.1321 0.6321 0.5000
Rh2 0.3679 0.1321 0.5000
Rh3 0.6321 0.8679 0.5000
Rh4 0.8679 0.3679 0.5000


*2*
Computed, not measured: an optimized crystal structure of Sr2TeRh2 at the PBE-GGA level of DFT.

Output
* mass density: 6.09 Mg/m³
* crystal system: tetragonal

Cell: 5.7308 5.7308 5.7308 Å, 116.88 116.88 95.50°
Positions (direct):
Sr1 0.2500 0.7500 0.5000
Sr2 0.7500 0.2500 0.5000
Te1 0.0000 0.0000 0.0000
Rh1 0.3379 0.3379 0.0000
Rh2 0.6621 0.6621 0.0000


Which of them is the least stable? Correct choice: *2*.


*1*
Computed, not measured: an optimized crystal structure of SrTe3Rh at the PBE-GGA level of DFT.

Output
* mass density: 6.28 Mg/m³
* crystal system: cubic

Cell: 5.3308 5.3308 5.3308 Å, 90.00 90.00 90.00°
Positions (direct):
Sr1 0.0000 0.0000 0.0000
Te1 0.0000 0.5000 0.5000
Te2 0.5000 0.0000 0.5000
Te3 0.5000 0.5000 0.0000
Rh1 0.5000 0.5000 0.5000


*2*
Computed, not measured: an optimized crystal structure of SrTe3Rh at the PBE-GGA level of DFT.

Output
* mass density: 4.31 Mg/m³
* crystal system: cubic

Cell: 6.0466 6.0466 6.0466 Å, 90.00 90.00 90.00°
Positions (direct):
Sr1 0.0000 0.0000 0.0000
Te1 0.0000 0.0000 0.5000
Te2 0.0000 0.5000 0.0000
Te3 0.5000 0.0000 0.0000
Rh1 0.5000 0.5000 0.5000


Which of them is the least stable? Correct choice: *2*.


*1*
Computed, not measured: an optimized crystal structure of SrThRh2 at the PBE-GGA level of DFT.

Output
* mass density: 9.13 Mg/m³
* crystal system: tetragonal

Cell: 3.6060 3.6060 7.3527 Å, 90.00 90.00 90.00°
Positions (direct):
Sr1 0.0000 0.0000 0.0000
Th1 0.0000 0.0000 0.5000
Rh1 0.5000 0.5000 0.2980
Rh2 0.5000 0.5000 0.7020


*2*
Computed, not measured: an optimized crystal structure of SrThRh2 at the PBE-GGA level of DFT.

Output
* mass density: 9.57 Mg/m³
* crystal system: cubic

Cell: 5.0512 5.0512 5.0512 Å, 60.00 60.00 60.00°
Positions (direct):
Sr1 0.0000 0.0000 0.0000
Th1 0.5000 0.5000 0.5000
Rh1 0.2500 0.2500 0.2500
Rh2 0.7500 0.7500 0.7500


Which of them is the least stable? Correct choice: *2*.


*1*
Computed, not measured: an optimized crystal structure of SrTiRh2 at the PBE-GGA level of DFT.

Output
* mass density: 7.65 Mg/m³
* crystal system: cubic

Cell: 4.7134 4.7134 4.7134 Å, 60.00 60.00 60.00°
Positions (direct):
Sr1 0.0000 0.0000 0.0000
Ti1 0.5000 0.5000 0.5000
Rh1 0.2500 0.2500 0.2500
Rh2 0.7500 0.7500 0.7500


*2*
Computed, not measured: an optimized crystal structure of SrTiRh2 at the PBE-GGA level of DFT.

Output
* mass density: 6.72 Mg/m³
* crystal system: tetragonal

Cell: 6.0518 6.0518 6.0518 Å, 106.01 106.01 116.64°
Positions (direct):
Sr1 0.0000 0.0000 0.0000
Sr2 0.7500 0.2500 0.5000
Ti1 0.2500 0.7500 0.5000
Ti2 0.5000 0.5000 0.0000
Rh1 0.1868 0.6250 0.0618
Rh2 0.3750 0.4368 0.5618
Rh3 0.5632 0.1250 0.9382
Rh4 0.8750 0.8132 0.4382


Which of them is the least stable? Correct choice: *2*.


*1*
Computed, not measured: an optimized crystal structure of SrTl2Rh2 at the PBE-GGA level of DFT.

Output
* mass density: 9.71 Mg/m³
* crystal system: tetragonal

Cell: 6.4841 6.4841 6.4841 Å, 138.13 138.13 60.70°
Positions (direct):
Sr1 0.0000 0.0000 0.0000
Tl1 0.2500 0.7500 0.5000
Tl2 0.7500 0.2500 0.5000
Rh1 0.3895 0.3895 0.0000
Rh2 0.6105 0.6105 0.0000


*2*
Computed, not measured: an optimized crystal structure of SrTl2Rh2 at the PBE-GGA level of DFT.

Output
* mass density: 9.63 Mg/m³
* crystal system: tetragonal

Cell: 11.6759 11.6759 11.6759 Å, 157.03 157.03 32.71°
Positions (direct):
Sr1 0.1394 0.1394 0.0000
Sr2 0.8606 0.8606 0.0000
Tl1 0.0000 0.5000 0.5000
Tl2 0.3151 0.3151 0.0000
Tl3 0.5000 0.0000 0.5000
Tl4 0.6849 0.6849 0.0000
Rh1 0.2500 0.7500 0.5000
Rh2 0.4350 0.4350 0.0000
Rh3 0.5650 0.5650 0.0000
Rh4 0.7500 0.2500 0.5000


*3*
Computed, not measured: an optimized crystal structure of SrTl2Rh2 at the PBE-GGA level of DFT.

Output
* mass density: 10.84 Mg/m³
* crystal system: tetragonal

Cell: 8.2076 8.2076 3.1949 Å, 90.00 90.00 90.00°
Positions (direct):
Sr1 0.0000 0.0000 0.0000
Sr2 0.5000 0.5000 0.0000
Tl1 0.1306 0.3694 0.0000
Tl2 0.3694 0.8694 0.0000
Tl3 0.6306 0.1306 0.0000
Tl4 0.8694 0.6306 0.0000
Rh1 0.1685 0.6685 0.5000
Rh2 0.3315 0.1685 0.5000
Rh3 0.6685 0.8315 0.5000
Rh4 0.8315 0.3315 0.5000


*4*
Computed, not measured: an optimized crystal structure of SrTl2Rh2 at the PBE-GGA level of DFT.

Output
* mass density: 10.90 Mg/m³
* crystal system: tetragonal

Cell: 8.0233 8.0233 3.3226 Å, 90.00 90.00 90.00°
Positions (direct):
Sr1 0.0000 0.0000 0.0000
Sr2 0.5000 0.5000 0.0000
Tl1 0.1527 0.3473 0.5000
Tl2 0.3473 0.8473 0.5000
Tl3 0.6527 0.1527 0.5000
Tl4 0.8473 0.6527 0.5000
Rh1 0.1408 0.6408 0.0000
Rh2 0.3592 0.1408 0.0000
Rh3 0.6408 0.8592 0.0000
Rh4 0.8592 0.3592 0.0000


Which of them is the least stable? Correct choice: *3*.